# 1
Al2ReP: optimized geometry, PBE.

Summary:
Crystal system: tetragonal
E_form in meV per atom: -112
DOS at the Fermi energy in states/eV/atom: 0.33

abc: 3.0314 3.0314 6.6172
angles: 90.00 90.00 90.00
Space group P4mm (No. 99)
Symmetry-distinct sites (fractional):
Al: 0.0000 0.0000 0.0000 [1 per cell]
Al: 0.5000 0.5000 0.2939 [1 per cell]
Re: 0.5000 0.5000 0.7348 [1 per cell]
P: 0.0000 0.0000 0.5644 [1 per cell]

---

# 2
AlRe2P: optimized geometry, PBE.

Summary:
Crystal system: orthorhombic
E_form in meV per atom: 236
Energy above the lowest structure with this stoichiometry in kJ/mol of formula units: 164
DOS at the Fermi energy in states/eV/atom: 0.63

abc: 3.0345 3.9876 4.7526
angles: 90.00 90.00 90.00
Space group Pmmm (No. 47)
Symmetry-distinct sites (fractional):
Al: 0.0000 0.0000 0.0000 [1 per cell]
Re: 0.0000 0.5000 0.5000 [1 per cell]
Re: 0.5000 0.5000 0.0000 [1 per cell]
P: 0.5000 0.0000 0.5000 [1 per cell]

---

# 3
Al4ReP: optimized geometry, PBE.

Summary:
Crystal system: cubic
E_form in meV per atom: 324
DOS at the Fermi energy in states/eV/atom: 0.50

abc: 7.1439 7.1439 7.1439
angles: 90.00 90.00 90.00
Space group F-43m (No. 216)
Symmetry-distinct sites (fractional):
Al: 0.1244 0.1244 0.3756 [16 per cell]
Re: 0.2500 0.2500 0.7500 [4 per cell]
P: 0.0000 0.0000 0.0000 [4 per cell]

---

# 4
AlRe2P: optimized geometry, PBE.

Summary:
Crystal system: trigonal
E_form in meV per atom: -35
Energy above the lowest structure with this stoichiometry in kJ/mol of formula units: 60
DOS at the Fermi energy in states/eV/atom: 1.15

abc: 2.8689 2.8689 24.0599
angles: 90.00 90.00 120.00
Space group R-3m (No. 166, hexagonal axes)
Symmetry-distinct sites (fractional):
Al: 0.0000 0.0000 0.0000 [3 per cell]
Re: 0.0000 0.0000 0.2421 [6 per cell]
P: 0.0000 0.0000 0.5000 [3 per cell]

---

# 5
AlReP2: optimized geometry, PBE.

Summary:
Crystal system: cubic
E_form in meV per atom: 472
DOS at the Fermi energy in states/eV/atom: 0.41

abc: 6.0703 6.0703 6.0703
angles: 90.00 90.00 90.00
Space group F-43m (No. 216)
Symmetry-distinct sites (fractional):
Al: 0.0000 0.0000 0.0000 [4 per cell]
Re: 0.2500 0.2500 0.7500 [4 per cell]
P: 0.0000 0.0000 0.5000 [4 per cell]
P: 0.2500 0.2500 0.2500 [4 per cell]

---

# 6
AlReP2: optimized geometry, PBE.

Summary:
Crystal system: tetragonal
E_form in meV per atom: -12
DOS at the Fermi energy in states/eV/atom: 0.24

abc: 3.1516 3.1516 6.1474
angles: 90.00 90.00 90.00
Space group P4mm (No. 99)
Symmetry-distinct sites (fractional):
Al: 0.0000 0.0000 0.0000 [1 per cell]
Re: 0.5000 0.5000 0.7390 [1 per cell]
P: 0.0000 0.0000 0.5585 [1 per cell]
P: 0.5000 0.5000 0.1663 [1 per cell]